Density functional theory data (PBE) for ErAgSeS after structural relaxation.

Cell and atoms, written as POSCAR:
```
ErAgSeS
1.0
4.181 0.000 0.000
0.000 6.624 0.000
-0.124 0.000 6.631
Ag Er S Se
2 2 2 2
Cartesian
4.148 3.292 1.641 Ag
-0.091 6.604 4.990 Ag
3.267 0.019 1.556 Er
0.791 3.331 5.075 Er
1.127 1.334 0.326 S
2.930 4.646 6.305 S
1.149 5.292 2.991 Se
2.908 1.979 3.640 Se
```

Calculated values
As for the total energy: -40.1 eV/cell.